Compound: Sr4TlPb3
Source: Alexandria via LeMat-Bulk
Functional: GGA-PBE
Structure: relaxed

Lattice parameters (Å, degrees): 5.8263 5.8263 10.1069 73.25 73.25 60.00
Sites, in units of the cell vectors:
Sr 0.1258 0.1258 0.6226
Pb 0.7477 0.7477 0.7569
Tl 0.0000 0.0000 0.0000
Sr 0.6242 0.6242 0.1274
Pb 0.2523 0.2523 0.2431
Pb 0.5000 0.5000 0.5000
Sr 0.8742 0.8742 0.3774
Sr 0.3758 0.3758 0.8726

E_tot = -3.024 eV per atom
Total magnetization = 0.0 μB/f.u.
Formation energy = -384 kJ/mol of formula units
Volume = 280.2 Å³/cell



Compound: K2Dy2SnS6
Source: Alexandria via LeMat-Bulk
Functional: GGA-PBE
Structure: relaxed

Lattice parameters (Å, degrees): 6.8139 6.8139 7.9311 98.35 98.35 119.72
Sites, in units of the cell vectors:
S 0.2479 0.2479 0.3077
S 0.3861 0.0659 0.6955
Dy 0.6676 0.3324 0.5000
Sn 0.0000 0.0000 0.5000
Dy 0.3324 0.6676 0.5000
S 0.6139 0.9341 0.3045
S 0.0659 0.3861 0.6955
S 0.9341 0.6139 0.3045
S 0.7521 0.7521 0.6923
K 0.1692 0.8308 0.0000
K 0.8308 0.1692 0.0000

E_tot = -5.107 eV per atom
Total magnetization = 0.0 μB/f.u.
Volume = 306.1 Å³/cell



Compound: CuW2
Source: Alexandria via LeMat-Bulk
Functional: GGA-PBE
Structure: relaxed

Lattice parameters (Å, degrees): 5.8375 5.8375 5.8375 90.00 90.00 90.00
Sites, in units of the cell vectors:
W 0.1248 0.6248 0.8752
Cu 0.5000 0.0000 0.5000
W 0.1248 0.8752 0.3752
W 0.8752 0.1248 0.6248
W 0.3752 0.1248 0.8752
Cu 0.0000 0.5000 0.5000
W 0.8752 0.3752 0.1248
W 0.6248 0.8752 0.1248
Cu 0.0000 0.0000 0.0000
Cu 0.5000 0.5000 0.0000
W 0.6248 0.6248 0.6248
W 0.3752 0.3752 0.3752

E_tot = -8.734 eV per atom
Total magnetization = 0.0 μB/f.u.
Formation energy = 367 kJ/mol of formula units
Distance to the lowest polymorph of the same formula = 956 meV per atom
Volume = 198.9 Å³/cell



Compound: LiFeNi2
Source: Alexandria via LeMat-Bulk
Functional: GGA-PBE
Structure: relaxed

Lattice parameters (Å, degrees): 4.4546 4.4546 4.3274 80.19 80.19 32.51
Each line ends with the local moment (μB).
Sites, in units of the cell vectors:
Ni 0.7432 0.7432 0.7313  0.55
Li 0.2563 0.2563 0.2257  -0.04
Fe 0.4893 0.4893 0.5274  2.65
Ni 0.0112 0.0112 0.0156  0.52

E_tot = -5.473 eV per atom
Total magnetization = 3.6 μB/f.u.
Formation energy = 5 kJ/mol of formula units
Volume = 45.4 Å³/cell



Compound: FePtSe4
Source: Alexandria via LeMat-Bulk
Functional: GGA-PBE
Structure: relaxed

Lattice parameters (Å, degrees): 5.5416 5.5416 5.5416 60.00 60.00 60.00
Each line ends with the local moment (μB).
Sites, in units of the cell vectors:
Fe 0.7500 0.7500 0.7500  3.32
Pt 0.0000 0.0000 0.0000  0.14
Se 0.3742 0.3742 0.3742  0.08
Se 0.3742 0.8774 0.3742  0.08
Se 0.3742 0.3742 0.8774  0.08
Se 0.8774 0.3742 0.3742  0.08

E_tot = -3.702 eV per atom
Total magnetization = 4.0 μB/f.u.
Distance to the lowest polymorph of the same formula = 1328 meV per atom
Volume = 120.3 Å³/cell



Compound: Ag6Pd8Au
Source: Alexandria via LeMat-Bulk
Functional: GGA-PBE
Structure: relaxed

Lattice parameters (Å, degrees): 4.7351 8.0698 8.0698 120.00 90.00 90.00
Sites, in units of the cell vectors:
Ag 0.5000 0.7869 0.2123
Ag 0.5000 0.2131 0.7877
Ag 0.5000 0.2123 0.4254
Pd 0.0000 0.3288 0.3289
Pd 0.0000 0.0001 0.6712
Pd 0.0000 0.3289 0.0001
Pd 0.0000 0.6711 0.9999
Pd 0.0000 0.9999 0.3288
Ag 0.5000 0.5746 0.7869
Pd 0.0000 0.6667 0.3333
Ag 0.5000 0.4254 0.2131
Ag 0.5000 0.7877 0.5746
Pd 0.0000 0.6712 0.6711
Au 0.5000 0.0000 0.0000
Pd 0.0000 0.3333 0.6667

E_tot = -4.003 eV per atom
Total magnetization = 0.0 μB/f.u.
Formation energy = 182 kJ/mol of formula units
Distance to the lowest polymorph of the same formula = 0 meV per atom
Volume = 267.0 Å³/cell



Compound: Mn7Se6
Source: Alexandria via LeMat-Bulk
Functional: GGA-PBE
Structure: relaxed

Lattice parameters (Å, degrees): 9.9903 9.9903 9.9903 30.45 30.45 30.45
Each line ends with the local moment (μB).
Sites, in units of the cell vectors:
Se 0.0753 0.0753 0.0753  0.04
Se 0.1938 0.1938 0.1938  -0.01
Mn 0.0781 0.5696 0.5696  2.69
Se 0.6631 0.6631 0.6631  -0.02
Mn 0.4304 0.9219 0.4304  2.69
Se 0.9247 0.9247 0.9247  0.04
Se 0.8062 0.8062 0.8062  -0.01
Mn 0.9219 0.4304 0.4304  2.69
Se 0.3369 0.3369 0.3369  -0.02
Mn 0.5000 0.5000 0.5000  4.22
Mn 0.5696 0.0781 0.5696  2.69
Mn 0.4304 0.4304 0.9219  2.69
Mn 0.5696 0.5696 0.0781  2.69

E_tot = -6.594 eV per atom
Total magnetization = 21.5 μB/f.u.
Volume = 227.0 Å³/cell



Compound: Ca2FeTeI
Source: Alexandria via LeMat-Bulk
Functional: GGA-PBE
Structure: relaxed

Lattice parameters (Å, degrees): 5.6717 5.6717 4.6337 90.00 90.00 90.00
Each line ends with the local moment (μB).
Sites, in units of the cell vectors:
Ca 0.5000 0.0000 0.0000  -0.01
Ca 0.0000 0.5000 0.0000  -0.01
Fe 0.0000 0.0000 0.0000  0.22
Te 0.0000 0.0000 0.5000  0.00
I 0.5000 0.5000 0.5000  0.00

E_tot = -3.919 eV per atom
Total magnetization = 0.2 μB/f.u.
Volume = 149.1 Å³/cell



Compound: AcZr2TiO8
Source: Alexandria via LeMat-Bulk
Functional: GGA-PBE
Structure: relaxed

Lattice parameters (Å, degrees): 4.9489 4.9489 6.9099 90.00 90.00 88.20
Each line ends with the local moment (μB).
Sites, in units of the cell vectors:
O 0.7017 0.7016 0.0000  0.06
Zr 0.5000 0.5000 0.7705  -0.02
O 0.1975 0.8027 0.7974  0.03
Ac 0.0000 0.0000 0.5000  0.06
O 0.8025 0.1973 0.2026  0.03
O 0.8024 0.1972 0.7974  0.03
O 0.1976 0.8028 0.2026  0.03
Ti 0.0000 0.0000 0.0000  -0.01
O 0.2983 0.2984 0.0000  0.06
Zr 0.5000 0.5000 0.2295  -0.02
O 0.3353 0.3362 0.5000  0.23
O 0.6647 0.6638 0.5000  0.23

E_tot = -8.702 eV per atom
Total magnetization = 0.8 μB/f.u.
Volume = 169.1 Å³/cell



Compound: Li2NbGeBr
Source: Alexandria via LeMat-Bulk
Functional: GGA-PBE
Structure: relaxed

Lattice parameters (Å, degrees): 5.7779 4.8190 5.7779 90.00 90.00 90.00
Each line ends with the local moment (μB).
Sites, in units of the cell vectors:
Li 0.5000 0.0000 0.0000  0.03
Ge 0.0000 0.5000 0.0000  -0.04
Nb 0.0000 0.0000 0.0000  1.08
Li 0.0000 0.0000 0.5000  0.03
Br 0.5000 0.5000 0.5000  0.01

E_tot = -3.292 eV per atom
Total magnetization = 1.4 μB/f.u.
Volume = 160.9 Å³/cell



Compound: TmAgI
Source: Alexandria via LeMat-Bulk
Functional: GGA-PBE
Structure: relaxed

Lattice parameters (Å, degrees): 3.9924 5.4672 13.4646 116.03 81.47 68.58
Sites, in units of the cell vectors:
Ag 0.4553 0.4293 0.6601
Ag 0.5447 0.5707 0.3399
Tm 0.7709 0.0598 0.3983
I 0.0386 0.0795 0.8432
Tm 0.2291 0.9402 0.6017
I 0.9614 0.9205 0.1568

E_tot = -3.257 eV per atom
Total magnetization = 0.0 μB/f.u.
Volume = 228.5 Å³/cell



Compound: MgCrNi2
Source: Alexandria via LeMat-Bulk
Functional: GGA-PBE
Structure: relaxed

Lattice parameters (Å, degrees): 5.0058 5.0058 5.0058 145.86 130.62 61.40
Each line ends with the local moment (μB).
Sites, in units of the cell vectors:
Cr 0.4821 0.4821 0.0000  2.81
Ni 0.2470 0.7470 0.5000  0.22
Ni 0.0125 0.0125 0.0000  0.33
Mg 0.7584 0.2584 0.5000  -0.01

E_tot = -5.571 eV per atom
Total magnetization = 3.5 μB/f.u.
Formation energy = 48 kJ/mol of formula units
Volume = 52.9 Å³/cell



Compound: Pa2RuPt
Source: Alexandria via LeMat-Bulk
Functional: GGA-PBE
Structure: relaxed

Lattice parameters (Å, degrees): 3.0947 3.0947 10.1422 81.22 81.22 60.00
Sites, in units of the cell vectors:
Pa 0.0908 0.0908 0.7276
Pa 0.9092 0.9092 0.2724
Pt 0.0000 0.0000 0.0000
Ru 0.5000 0.5000 0.5000

E_tot = -8.623 eV per atom
Total magnetization = 0.0 μB/f.u.
Formation energy = -18 kJ/mol of formula units
Volume = 82.8 Å³/cell



Compound: SrCaIn4
Source: Alexandria via LeMat-Bulk
Functional: GGA-PBE
Structure: relaxed

Lattice parameters (Å, degrees): 6.2317 6.2317 6.2317 60.00 60.00 60.00
Sites, in units of the cell vectors:
In 0.6252 0.1245 0.6252
In 0.6252 0.6252 0.6252
In 0.6252 0.6252 0.1245
Sr 0.2500 0.2500 0.2500
In 0.1245 0.6252 0.6252
Ca 0.0000 0.0000 0.0000

E_tot = -2.788 eV per atom
Total magnetization = 0.0 μB/f.u.
Formation energy = -202 kJ/mol of formula units
Distance to the lowest polymorph of the same formula = 65 meV per atom
Volume = 171.1 Å³/cell



Compound: Ti2Fe5SiB2
Source: Alexandria via LeMat-Bulk
Functional: GGA-PBE
Structure: relaxed

Lattice parameters (Å, degrees): 2.8366 8.5345 8.5345 90.00 90.00 90.00
Sites, in units of the cell vectors:
Fe 0.5000 0.7869 0.9317
B 0.0000 0.1232 0.6232
Fe 0.5000 0.0000 0.5000
Fe 0.5000 0.9317 0.2131
Si 0.0000 0.5000 0.5000
B 0.0000 0.3768 0.1232
Ti 0.0000 0.1751 0.3249
Ti 0.0000 0.8249 0.6751
Fe 0.5000 0.4317 0.2869
Ti 0.0000 0.3249 0.8249
B 0.0000 0.6232 0.8768
Si 0.0000 0.0000 0.0000
Fe 0.5000 0.5000 0.0000
Fe 0.5000 0.7131 0.4317
Fe 0.5000 0.2131 0.0683
Fe 0.5000 0.2869 0.5683
Fe 0.5000 0.5683 0.7131
B 0.0000 0.8768 0.3768
Ti 0.0000 0.6751 0.1751
Fe 0.5000 0.0683 0.7869

E_tot = -8.276 eV per atom
Total magnetization = 0.0 μB/f.u.
Volume = 206.6 Å³/cell



Compound: DyMgCo2
Source: Alexandria via LeMat-Bulk
Functional: GGA-PBE
Structure: relaxed

Lattice parameters (Å, degrees): 3.2674 4.4361 4.4361 90.00 90.00 90.00
Sites, in units of the cell vectors:
Co 0.0000 0.5000 0.0000
Dy 0.5000 0.5000 0.5000
Co 0.0000 0.0000 0.5000
Mg 0.5000 0.0000 0.0000

E_tot = -5.058 eV per atom
Total magnetization = 0.0 μB/f.u.
Formation energy = 17 kJ/mol of formula units
Distance to the lowest polymorph of the same formula = 14 meV per atom
Volume = 64.3 Å³/cell



Compound: UPd3Pt3
Source: Alexandria via LeMat-Bulk
Functional: GGA-PBE
Structure: relaxed

Lattice parameters (Å, degrees): 4.7718 7.5575 7.5575 120.00 90.00 90.00
Each line ends with the local moment (μB).
Sites, in units of the cell vectors:
Pt 0.7500 0.9084 0.3757  -0.04
Pt 0.2500 0.5327 0.9084  -0.04
Pt 0.7500 0.6243 0.5327  -0.04
Pt 0.2500 0.0916 0.6243  -0.04
Pd 0.7500 0.1957 0.2416  -0.01
U 0.7500 0.3333 0.6667  0.89
Pd 0.7500 0.7584 0.9540  -0.01
Pd 0.2500 0.8043 0.7584  -0.01
Pd 0.7500 0.0460 0.8043  -0.01
U 0.2500 0.6667 0.3333  0.89
Pt 0.7500 0.4673 0.0916  -0.04
Pd 0.2500 0.2416 0.0460  -0.01
Pt 0.2500 0.3757 0.4673  -0.04
Pd 0.2500 0.9540 0.1957  -0.01

E_tot = -6.879 eV per atom
Total magnetization = 0.8 μB/f.u.
Formation energy = -305 kJ/mol of formula units
Distance to the lowest polymorph of the same formula = 0 meV per atom
Volume = 236.0 Å³/cell



Compound: Pd2PtAu6
Source: Alexandria via LeMat-Bulk
Functional: GGA-PBE
Structure: relaxed

Lattice parameters (Å, degrees): 4.8866 4.5251 8.4605 97.61 90.00 122.68
Sites, in units of the cell vectors:
Au 0.3328 0.6657 0.3893
Au 0.0012 0.0025 0.8360
Au 0.6664 0.3327 0.2736
Au 0.9988 0.9975 0.1640
Pt 0.0000 0.0000 0.5000
Pd 0.6668 0.3337 0.9442
Pd 0.3332 0.6663 0.0558
Au 0.3336 0.6673 0.7264
Au 0.6672 0.3343 0.6107

E_tot = -4.008 eV per atom
Total magnetization = 0.0 μB/f.u.
Formation energy = 2 kJ/mol of formula units
Distance to the lowest polymorph of the same formula = 0 meV per atom
Volume = 155.5 Å³/cell



Compound: ZrTlGe2
Source: Alexandria via LeMat-Bulk
Functional: GGA-PBE
Structure: relaxed

Lattice parameters (Å, degrees): 4.9760 4.9760 4.9760 60.00 60.00 60.00
Sites, in units of the cell vectors:
Zr 0.0000 0.0000 0.0000
Ge 0.2500 0.2500 0.2500
Tl 0.5000 0.5000 0.5000
Ge 0.7500 0.7500 0.7500

E_tot = -4.822 eV per atom
Total magnetization = 0.0 μB/f.u.
Formation energy = 83 kJ/mol of formula units
Distance to the lowest polymorph of the same formula = 43 meV per atom
Volume = 87.1 Å³/cell